Material: ScOs2I
Method: DFT, PBE
State: optimized geometry

Cell: 3.9079 3.9079 11.0172 Å, 79.78 79.78 90.00°
Closest atoms and distances in Å follow each position.
Fractional positions:
I (0.0000, 0.0000, 0.0000)  4 Sc 2.76, 4 Os 2.93
I (0.7500, 0.2500, 0.5000)  4 Sc 2.76, 4 Os 2.93
Sc (0.2500, 0.7500, 0.5000)  4 I 2.76
Sc (0.5000, 0.5000, 0.0000)  4 I 2.76
Os (0.0577, 0.6250, 0.2500)  2 Os 2.42
Os (0.6923, 0.1250, 0.2500)  2 Os 2.42
Os (0.8750, 0.9423, 0.7500)  2 Os 2.42
Os (0.3750, 0.3077, 0.7500)  2 Os 2.42

Summary:
* magnetic moment: 0.000 Bohr magnetons per cell
* energy relative to the elements, uncorrected: 79.8 kJ per mole of atoms
* polymorph energy (0 for the lowest one): 0.077 eV/atom
* crystal system: tetragonal
* N(E_F): 4.680 states/eV/f.u.
* volume: 81 Å³/f.u.